1.
Compound: ThGe3Au3
Source: the Alexandria database
Functional: GGA-PBE
Structure: relaxed

Cell and atoms, written as POSCAR:
```
ThGe3Au3
1.0
6.985 0.000 0.000
0.000 6.985 0.000
0.000 0.000 6.985
Th Ge Au
2 6 6
direct
0.000 0.000 0.000 Th
0.500 0.500 0.500 Th
0.000 0.250 0.500 Ge
0.000 0.750 0.500 Ge
0.250 0.500 0.000 Ge
0.500 0.000 0.250 Ge
0.500 0.000 0.750 Ge
0.750 0.500 0.000 Ge
0.000 0.500 0.250 Au
0.000 0.500 0.750 Au
0.250 0.000 0.500 Au
0.500 0.250 0.000 Au
0.500 0.750 0.000 Au
0.750 0.000 0.500 Au
```

Output
* DFT total energy: -61.02 eV for the cell shown
* crystal system: cubic
* DOS at the Fermi energy: 0.5825 states/eV/atom

=====

2.
Compound: TlCrCo2
Source: the Alexandria database
Functional: GGA-PBE
Structure: relaxed

Cell and atoms, written as POSCAR:
```
TlCrCo2
1.0
0.000 3.024 3.024
3.024 0.000 3.024
3.024 3.024 0.000
Tl Cr Co
1 1 2
direct
0.000 0.000 0.000 Tl
0.500 0.500 0.500 Cr
0.250 0.250 0.250 Co
0.750 0.750 0.750 Co
```

Output
* DFT total energy: -24.26 eV for the cell shown
* excess energy over the best structure of this formula in the dataset: 81 meV per atom
* crystal system: cubic
* DOS at the Fermi energy: 0.8083 states/eV/atom

=====

Energy of formation from the pure elements
In order: 0.59 1.95
Unit: eV/f.u.
Calculated density
In order: 10.1 11.2
Unit: g/cm3
Total magnetization
In order: 0.0 3.3
Unit: μB per formula unit